[1]
## Cr2RhCl (PBE)

Data for crystalline Cr2RhCl at its relaxed geometry.

Unit cell a=2.796 b=4.277 c=8.596 alpha=90.00 beta=90.00 gamma=90.00
Fractional coordinates of all 8 atoms:
Cr (0.000, 0.000, 0.224)
Cr (0.000, 0.000, 0.776)
Cr (0.500, 0.500, 0.276)
Cr (0.500, 0.500, 0.724)
Rh (0.000, 0.500, 0.000)
Rh (0.500, 0.000, 0.500)
Cl (0.000, 0.500, 0.500)
Cl (0.500, 0.000, 0.000)

DOS(E_F): 8.1 states/eV/cell
total magnetic moment: 0.00 μB/f.u.
total DFT energy (no corrections): -6.51 eV/atom
uncorrected formation energy: 0.597 eV per atom

[2]
## SrTlMo2 (PBE)

Data for crystalline SrTlMo2 at its relaxed geometry.

Unit cell a=4.954 b=4.954 c=7.030 alpha=90.00 beta=90.00 gamma=90.00
Fractional coordinates of all 8 atoms:
Sr (0.000, 0.000, 0.000)
Sr (0.500, 0.500, 0.500)
Tl (0.000, 0.500, 0.750)
Tl (0.500, 0.000, 0.250)
Mo (0.000, 0.000, 0.500)
Mo (0.000, 0.500, 0.250)
Mo (0.500, 0.000, 0.750)
Mo (0.500, 0.500, 0.000)

calculated formation energy: 884 meV/atom
DOS(E_F): 6.3 states/eV/cell
total magnetic moment: 1.03 μB/f.u.
total DFT energy (no corrections): -5.54 eV/atom

[3]
## Mg14MnGa (PBE)

Data for crystalline Mg14MnGa at its relaxed geometry.

Unit cell a=10.182 b=6.256 c=6.256 alpha=59.93 beta=90.00 gamma=90.00
Fractional coordinates of all 16 atoms:
Mg (0.000, 0.000, 0.000)
Mg (0.000, 0.002, 0.503)
Mg (0.000, 0.500, 0.500)
Mg (0.000, 0.503, 0.002)
Mg (0.252, 0.167, 0.167)
Mg (0.255, 0.665, 0.665)
Mg (0.264, 0.173, 0.668)
Mg (0.264, 0.668, 0.173)
Mg (0.500, 0.497, 0.996)
Mg (0.500, 0.996, 0.497)
Mg (0.736, 0.173, 0.668)
Mg (0.736, 0.668, 0.173)
Mg (0.745, 0.665, 0.665)
Mg (0.748, 0.167, 0.167)
Mn (0.500, 0.503, 0.503)
Ga (0.500, 0.002, 0.002)

calculated formation energy: 28 meV/atom
DOS(E_F): 6.0 states/eV/cell
total magnetic moment: 3.27 μB/f.u.
total DFT energy (no corrections): -2.13 eV/atom

[4]
## ScC2 (PBE)

Data for crystalline ScC2 at its relaxed geometry.

Unit cell a=2.719 b=2.719 c=12.724 alpha=90.00 beta=90.00 gamma=120.00
Fractional coordinates of all 9 atoms:
Sc (0.000, 0.000, 0.000)
Sc (0.333, 0.667, 0.667)
Sc (0.667, 0.333, 0.333)
C (0.000, 0.000, 0.184)
C (0.000, 0.000, 0.816)
C (0.333, 0.667, 0.483)
C (0.333, 0.667, 0.851)
C (0.667, 0.333, 0.149)
C (0.667, 0.333, 0.517)

calculated formation energy: 256 meV/atom
DOS(E_F): 3.7 states/eV/cell
total magnetic moment: 0.00 μB/f.u.
total DFT energy (no corrections): -8.00 eV/atom

[5]
## Tb6Nd5Sc (PBE)

Data for crystalline Tb6Nd5Sc at its relaxed geometry.

Unit cell a=6.212 b=6.212 c=11.888 alpha=94.99 beta=94.99 gamma=119.98
Fractional coordinates of all 12 atoms:
Tb (0.083, 0.413, 0.747)
Tb (0.247, 0.247, 0.253)
Tb (0.413, 0.083, 0.747)
Tb (0.587, 0.917, 0.253)
Tb (0.753, 0.753, 0.747)
Tb (0.917, 0.587, 0.253)
Nd (0.167, 0.833, 0.000)
Nd (0.334, 0.666, 0.500)
Nd (0.500, 0.500, 0.000)
Nd (0.666, 0.334, 0.500)
Nd (0.833, 0.167, 0.000)
Sc (0.000, 0.000, 0.500)

calculated formation energy: 25 meV/atom
DOS(E_F): 15.7 states/eV/cell
total magnetic moment: 0.00 μB/f.u.
total DFT energy (no corrections): -4.80 eV/atom

[6]
## SmTm2Cu4 (PBE)

Data for crystalline SmTm2Cu4 at its relaxed geometry.

Unit cell a=6.851 b=6.851 c=6.600 alpha=90.00 beta=90.00 gamma=90.00
Fractional coordinates of all 14 atoms:
Sm (0.000, 0.000, 0.000)
Sm (0.500, 0.500, 0.500)
Tm (0.000, 0.500, 0.000)
Tm (0.000, 0.500, 0.500)
Tm (0.500, 0.000, 0.000)
Tm (0.500, 0.000, 0.500)
Cu (0.250, 0.250, 0.250)
Cu (0.250, 0.250, 0.750)
Cu (0.250, 0.750, 0.250)
Cu (0.250, 0.750, 0.750)
Cu (0.750, 0.250, 0.250)
Cu (0.750, 0.250, 0.750)
Cu (0.750, 0.750, 0.250)
Cu (0.750, 0.750, 0.750)

calculated formation energy: 46 meV/atom
DOS(E_F): 7.8 states/eV/cell
total magnetic moment: 0.00 μB/f.u.
total DFT energy (no corrections): -4.25 eV/atom

[7]
## BaRhCl6 (PBE)

Data for crystalline BaRhCl6 at its relaxed geometry.

Unit cell a=6.568 b=6.599 c=7.091 alpha=90.20 beta=117.37 gamma=119.71
Fractional coordinates of all 8 atoms:
Ba (0.000, 0.000, 0.000)
Rh (0.000, 0.500, 0.500)
Cl (0.175, 0.497, 0.278)
Cl (0.219, 0.324, 0.723)
Cl (0.396, 0.893, 0.723)
Cl (0.604, 0.107, 0.277)
Cl (0.781, 0.676, 0.277)
Cl (0.825, 0.503, 0.722)

DOS(E_F): 7.7 states/eV/cell
total magnetic moment: 1.03 μB/f.u.
total DFT energy (no corrections): -3.72 eV/atom
uncorrected formation energy: -1.177 eV per atom

[8]
## BaTi2PtS (PBE)

Data for crystalline BaTi2PtS at its relaxed geometry.

Unit cell a=5.213 b=5.213 c=5.098 alpha=90.00 beta=90.00 gamma=90.00
Fractional coordinates of all 5 atoms:
Ba (0.000, 0.000, 0.000)
Ti (0.000, 0.500, 0.000)
Ti (0.500, 0.000, 0.000)
Pt (0.000, 0.000, 0.500)
S (0.500, 0.500, 0.500)

DOS(E_F): 6.8 states/eV/cell
total magnetic moment: 2.86 μB/f.u.
total DFT energy (no corrections): -3.63 eV/atom
uncorrected formation energy: 1.950 eV per atom

[9]
## BaIn3Pt3 (PBE)

Data for crystalline BaIn3Pt3 at its relaxed geometry.

Unit cell a=7.440 b=7.440 c=7.440 alpha=90.00 beta=90.00 gamma=90.00
Fractional coordinates of all 14 atoms:
Ba (0.000, 0.000, 0.000)
Ba (0.500, 0.500, 0.500)
In (0.000, 0.250, 0.500)
In (0.000, 0.750, 0.500)
In (0.250, 0.500, 0.000)
In (0.500, 0.000, 0.250)
In (0.500, 0.000, 0.750)
In (0.750, 0.500, 0.000)
Pt (0.000, 0.500, 0.250)
Pt (0.000, 0.500, 0.750)
Pt (0.250, 0.000, 0.500)
Pt (0.500, 0.250, 0.000)
Pt (0.500, 0.750, 0.000)
Pt (0.750, 0.000, 0.500)

calculated formation energy: -369 meV/atom
DOS(E_F): 6.9 states/eV/cell
total magnetic moment: 0.00 μB/f.u.
total DFT energy (no corrections): -4.41 eV/atom

[10]
## LaCo2Si2 (PBE)

Data for crystalline LaCo2Si2 at its relaxed geometry.

Unit cell a=7.463 b=7.463 c=2.737 alpha=90.00 beta=90.00 gamma=90.00
Fractional coordinates of all 10 atoms:
La (0.000, 0.000, 0.000)
La (0.500, 0.500, 0.000)
Co (0.136, 0.364, 0.500)
Co (0.364, 0.864, 0.500)
Co (0.636, 0.136, 0.500)
Co (0.864, 0.636, 0.500)
Si (0.129, 0.629, 0.000)
Si (0.371, 0.129, 0.000)
Si (0.629, 0.871, 0.000)
Si (0.871, 0.371, 0.000)

DOS(E_F): 11.6 states/eV/cell
total magnetic moment: 0.00 μB/f.u.
total DFT energy (no corrections): -6.15 eV/atom
uncorrected formation energy: -0.151 eV per atom

[11]
## SrCr2Hg (PBE)

Data for crystalline SrCr2Hg at its relaxed geometry.

Unit cell a=4.758 b=4.758 c=16.379 alpha=90.00 beta=90.00 gamma=120.00
Fractional coordinates of all 12 atoms:
Sr (0.000, 0.000, 0.000)
Sr (0.333, 0.667, 0.667)
Sr (0.667, 0.333, 0.333)
Cr (0.000, 0.000, 0.197)
Cr (0.000, 0.000, 0.803)
Cr (0.333, 0.667, 0.469)
Cr (0.333, 0.667, 0.864)
Cr (0.667, 0.333, 0.136)
Cr (0.667, 0.333, 0.531)
Hg (0.000, 0.000, 0.500)
Hg (0.333, 0.667, 0.167)
Hg (0.667, 0.333, 0.833)

calculated formation energy: 555 meV/atom
DOS(E_F): 5.4 states/eV/cell
total magnetic moment: 8.36 μB/f.u.
total DFT energy (no corrections): -4.75 eV/atom

[12]
## BeSbHI2 (PBE)

Data for crystalline BeSbHI2 at its relaxed geometry.

Unit cell a=5.554 b=5.554 c=3.894 alpha=90.00 beta=90.00 gamma=90.00
Fractional coordinates of all 5 atoms:
Be (0.000, 0.000, 0.000)
Sb (0.500, 0.500, 0.000)
H (0.500, 0.500, 0.500)
I (0.000, 0.500, 0.500)
I (0.500, 0.000, 0.500)

DOS(E_F): 3.5 states/eV/cell
total magnetic moment: 0.00 μB/f.u.
total DFT energy (no corrections): -2.08 eV/atom

[13]
## Sm2Sc2GeBi2 (PBE)

Data for crystalline Sm2Sc2GeBi2 at its relaxed geometry.

Unit cell a=4.971 b=4.971 c=16.497 alpha=90.00 beta=90.00 gamma=90.00
Fractional coordinates of all 14 atoms:
Sm (0.000, 0.000, 0.171)
Sm (0.000, 0.000, 0.829)
Sm (0.500, 0.500, 0.329)
Sm (0.500, 0.500, 0.671)
Sc (0.000, 0.500, 0.000)
Sc (0.000, 0.500, 0.500)
Sc (0.500, 0.000, 0.000)
Sc (0.500, 0.000, 0.500)
Ge (0.000, 0.000, 0.000)
Ge (0.500, 0.500, 0.500)
Bi (0.000, 0.000, 0.368)
Bi (0.000, 0.000, 0.632)
Bi (0.500, 0.500, 0.132)
Bi (0.500, 0.500, 0.868)

calculated formation energy: -631 meV/atom
DOS(E_F): 13.0 states/eV/cell
total magnetic moment: 0.00 μB/f.u.
total DFT energy (no corrections): -5.56 eV/atom

[14]
## Na2Tl4Hg3 (PBE)

Data for crystalline Na2Tl4Hg3 at its relaxed geometry.

Unit cell a=3.592 b=3.592 c=23.486 alpha=90.00 beta=90.00 gamma=120.00
Fractional coordinates of all 9 atoms:
Na (0.000, 0.000, 0.000)
Na (0.000, 0.000, 0.209)
Tl (0.000, 0.000, 0.340)
Tl (0.000, 0.000, 0.554)
Tl (0.333, 0.667, 0.678)
Tl (0.333, 0.667, 0.890)
Hg (0.000, 0.000, 0.785)
Hg (0.333, 0.667, 0.105)
Hg (0.333, 0.667, 0.446)

calculated formation energy: -45 meV/atom
DOS(E_F): 4.4 states/eV/cell
total magnetic moment: 0.00 μB/f.u.
total DFT energy (no corrections): -1.49 eV/atom

[15]
## PuBi (PBE)

Data for crystalline PuBi at its relaxed geometry.

Unit cell a=3.502 b=3.541 c=8.669 alpha=90.00 beta=92.05 gamma=90.00
Fractional coordinates of all 4 atoms:
Pu (0.157, 0.250, 0.061)
Pu (0.843, 0.750, 0.939)
Bi (0.317, 0.250, 0.685)
Bi (0.683, 0.750, 0.315)

calculated formation energy: 13 meV/atom
DOS(E_F): 7.1 states/eV/cell
total magnetic moment: 0.85 μB/f.u.
total DFT energy (no corrections): -9.09 eV/atom

[16]
## Na2Cd2Te (PBE)

Data for crystalline Na2Cd2Te at its relaxed geometry.

Unit cell a=4.400 b=4.400 c=14.767 alpha=90.00 beta=90.00 gamma=90.00
Fractional coordinates of all 10 atoms:
Na (0.000, 0.500, 0.250)
Na (0.000, 0.500, 0.750)
Na (0.500, 0.000, 0.250)
Na (0.500, 0.000, 0.750)
Cd (0.000, 0.000, 0.098)
Cd (0.000, 0.000, 0.902)
Cd (0.500, 0.500, 0.402)
Cd (0.500, 0.500, 0.598)
Te (0.000, 0.000, 0.500)
Te (0.500, 0.500, 0.000)

DOS(E_F): 0.7 states/eV/cell
total magnetic moment: 0.00 μB/f.u.
total DFT energy (no corrections): -1.61 eV/atom
uncorrected formation energy: -0.089 eV per atom

[17]
## LiScAl2 (PBE)

Data for crystalline LiScAl2 at its relaxed geometry.

Unit cell a=2.942 b=4.254 c=5.862 alpha=90.00 beta=90.00 gamma=90.00
Fractional coordinates of all 4 atoms:
Li (0.000, 0.000, 0.000)
Sc (0.000, 0.000, 0.500)
Al (0.500, 0.500, 0.247)
Al (0.500, 0.500, 0.753)

calculated formation energy: -230 meV/atom
DOS(E_F): 2.4 states/eV/cell
total magnetic moment: 0.00 μB/f.u.
total DFT energy (no corrections): -4.16 eV/atom

[18]
## PuH8Rh4 (PBE)

Data for crystalline PuH8Rh4 at its relaxed geometry.

Unit cell a=5.732 b=5.732 c=5.295 alpha=106.43 beta=106.43 gamma=60.57
Fractional coordinates of all 13 atoms:
Pu (0.000, 0.000, 0.000)
H (0.115, 0.115, 0.656)
H (0.115, 0.599, 0.657)
H (0.386, 0.386, 0.326)
H (0.401, 0.885, 0.343)
H (0.599, 0.115, 0.657)
H (0.614, 0.614, 0.674)
H (0.885, 0.401, 0.343)
H (0.885, 0.885, 0.344)
Rh (0.250, 0.250, 0.492)
Rh (0.255, 0.745, 0.500)
Rh (0.745, 0.255, 0.500)
Rh (0.750, 0.750, 0.508)

DOS(E_F): 18.2 states/eV/cell
total magnetic moment: 5.26 μB/f.u.
total DFT energy (no corrections): -5.52 eV/atom

[19]
## AgSb2Te (PBE)

Data for crystalline AgSb2Te at its relaxed geometry.

Unit cell a=13.629 b=3.101 c=5.574 alpha=90.00 beta=113.47 gamma=90.00
Fractional coordinates of all 8 atoms:
Ag (0.000, 0.000, 0.000)
Ag (0.500, 0.500, 0.000)
Sb (0.204, 0.500, 0.205)
Sb (0.296, 0.000, 0.795)
Sb (0.704, 0.000, 0.205)
Sb (0.796, 0.500, 0.795)
Te (0.000, 0.500, 0.500)
Te (0.500, 0.000, 0.500)

DOS(E_F): 4.0 states/eV/cell
total magnetic moment: 0.00 μB/f.u.
total DFT energy (no corrections): -3.36 eV/atom
uncorrected formation energy: 0.196 eV per atom

[20]
## Pm2Cu3As4Pd (PBE)

Data for crystalline Pm2Cu3As4Pd at its relaxed geometry.

Unit cell a=4.260 b=4.260 c=10.154 alpha=90.00 beta=90.00 gamma=90.00
Fractional coordinates of all 10 atoms:
Pm (0.000, 0.500, 0.245)
Pm (0.500, 0.000, 0.755)
Cu (0.000, 0.000, 0.000)
Cu (0.000, 0.500, 0.627)
Cu (0.500, 0.000, 0.373)
As (0.000, 0.000, 0.500)
As (0.000, 0.500, 0.860)
As (0.500, 0.000, 0.140)
As (0.500, 0.500, 0.500)
Pd (0.500, 0.500, 0.000)

calculated formation energy: -664 meV/atom
DOS(E_F): 0.8 states/eV/cell
total magnetic moment: 0.00 μB/f.u.
total DFT energy (no corrections): -5.22 eV/atom